Material: Cr2CoSnF
Method: DFT, PBE with a Hubbard U
State: relaxed

Values from the calculation:
* raw total energy: -5.091 eV/atom
* total magnetization: 9.39 μB/f.u.
* ρ: 5894 kg/m³

CIF file:
```
data_Cr2CoSnF
_chemical_formula_sum 'Cr2 Co1 Sn1 F1'
_cell_length_a 4.429
_cell_length_b 4.429
_cell_length_c 4.317
_cell_angle_alpha 90.00
_cell_angle_beta 90.00
_cell_angle_gamma 90.00
_space_group_name_H-M_alt 'P 4/m m m'
_space_group_IT_number 123
_space_group_name_Hall '-P 4 2'
loop_
_atom_site_label
_atom_site_type_symbol
_atom_site_fract_x
_atom_site_fract_y
_atom_site_fract_z
_atom_site_occupancy
Cr1 Cr 0.000 0.500 0.000 1
Co1 Co 0.000 0.000 0.500 1
Sn1 Sn 0.500 0.500 0.500 1
F1 F 0.000 0.000 0.000 1
```